A plane-wave DFT calculation with PBE+U was carried out for a geometry-optimized Li4MnFe3P4O16 structure. Values from VASP.

Cell and atoms, written as Quantum ESPRESSO input:
```
&SYSTEM
  ibrav = 0, nat = 56, ntyp = 5
/
ATOMIC_SPECIES
O 16.00 O.upf
P 30.97 P.upf
Li 6.94 Li.upf
Fe 55.84 Fe.upf
Mn 54.94 Mn.upf
CELL_PARAMETERS angstrom
-9.746 0.632 -3.650
-2.727 -1.990 6.942
-0.930 6.742 3.642
ATOMIC_POSITIONS crystal
O 0.586 0.118 0.336
O 0.704 0.477 0.273
O 0.346 0.746 0.006
O 0.584 0.917 0.131
P 0.344 0.584 0.167
Li 0.250 0.250 0.250
O 0.415 0.416 0.131
P 0.345 0.083 0.666
O 0.414 0.913 0.633
Li 0.251 0.750 0.748
O 0.349 0.245 0.504
Fe 0.469 0.362 0.887
O 0.086 0.881 0.166
O 0.915 0.882 0.665
O 0.913 0.585 0.368
P 0.656 0.084 0.167
O 0.913 0.381 0.165
O 0.846 0.755 0.995
O 0.846 0.254 0.496
O 0.293 0.479 0.771
O 0.085 0.585 0.869
Fe 0.031 0.138 0.612
O 0.086 0.085 0.368
Mn 0.473 0.864 0.386
O 0.295 0.978 0.272
O 0.794 0.020 0.228
P 0.156 0.417 0.834
Li 0.749 0.250 0.749
O 0.652 0.744 0.504
O 0.915 0.084 0.869
O 0.654 0.246 0.006
O 0.416 0.119 0.834
O 0.206 0.520 0.229
Li 0.750 0.750 0.250
Fe 0.969 0.638 0.612
Li 0.750 0.499 0.000
P 0.844 0.916 0.834
O 0.794 0.523 0.728
Fe 0.531 0.862 0.887
Fe 0.969 0.138 0.112
Li 0.749 0.001 0.500
P 0.157 0.916 0.334
Fe 0.031 0.638 0.113
O 0.206 0.024 0.728
O 0.154 0.255 0.995
Mn 0.528 0.364 0.386
O 0.154 0.755 0.496
O 0.586 0.414 0.633
O 0.085 0.382 0.665
O 0.585 0.618 0.834
Li 0.251 0.502 0.500
P 0.843 0.416 0.334
Li 0.250 0.999 0.000
O 0.707 0.979 0.771
O 0.414 0.617 0.337
P 0.656 0.583 0.666
```

Summary:
As for the energy above the most stable polymorph in this dataset: 101.3 meV per atom. As for the calculated total energy: -0.50113 Ry per atom. As for the space group: P1 (1). The density of states at the Fermi level is 0.00 states/eV per atom.